No. 1
Density functional theory data (PBE-GGA) for crystalline PaBiS at its relaxed geometry.

Space group ... No. 107
Crystal system ... tetragonal
Density of states at the Fermi level ... 3.543 states/eV/f.u.
Calculated volume ... 78.8 Å³/f.u.
Formation energy (no corrections) ... -79 kJ/mol of atoms

extended XYZ file:
```
3
Lattice="-2.213 0.300 2.694 -2.217 -2.202 -1.576 5.083 -4.019 2.350" Properties=species:S:1:pos:R:3 pbc="T T T"
S 1.682 -2.914 1.706
Pa -1.068 -2.938 1.722
Bi 0.040 -0.069 0.040
```

=====

No. 2
Density functional theory data (PBE-GGA) for crystalline NaAs3Se at its relaxed geometry.

Space group ... No. 221
Crystal system ... cubic
Density of states at the Fermi level ... 6.622 states/eV/f.u.
Calculated volume ... 125.6 Å³/f.u.
Formation energy (no corrections) ... 116 kJ/mol of atoms

extended XYZ file:
```
5
Lattice="5.008 0.000 0.000 0.000 5.008 0.000 0.000 0.000 5.008" Properties=species:S:1:pos:R:3 pbc="T T T"
Na 0.000 0.000 0.000
As 0.000 2.504 0.000
As 0.000 0.000 2.504
As 2.504 0.000 0.000
Se 2.504 2.504 2.504
```

=====

No. 3
Density functional theory data (PBE-GGA) for crystalline Cs2Er2NpTe6 at its relaxed geometry.

Space group ... No. 12
Crystal system ... monoclinic
Density of states at the Fermi level ... 3.590 states/eV/f.u.
Calculated volume ... 468.2 Å³/f.u.
Formation energy (no corrections) ... -113 kJ/mol of atoms

extended XYZ file:
```
11
Lattice="7.676 -0.034 -0.130 -3.824 6.656 -0.130 -1.149 -1.975 9.265" Properties=species:S:1:pos:R:3 pbc="T T T"
Cs 5.760 1.081 -0.130
Cs -1.908 5.541 -0.130
Er -0.575 3.445 4.502
Er 3.279 1.202 4.502
Np -0.574 -0.987 4.632
Te 0.684 1.175 2.835
Te -1.802 1.274 6.311
Te 2.020 3.472 6.169
Te 1.999 -0.937 6.311
Te 4.506 3.373 2.693
Te 0.705 5.584 2.693
```

=====

No. 4
Density functional theory data (PBE-GGA) for crystalline NbZnSi2Os at its relaxed geometry.

Space group ... No. 123
Crystal system ... tetragonal
Density of states at the Fermi level ... 6.111 states/eV/f.u.
Calculated volume ... 98.9 Å³/f.u.
Formation energy (no corrections) ... 79 kJ/mol of atoms

extended XYZ file:
```
5
Lattice="-3.569 2.378 -1.515 -2.925 -2.706 2.643 0.457 2.900 3.474" Properties=species:S:1:pos:R:3 pbc="T T T"
Si 0.228 1.450 1.737
Si -1.785 1.189 -0.758
Nb -3.019 1.285 2.301
Os 0.000 0.000 0.000
Zn -1.462 -1.353 1.322
```

=====

No. 5
Density functional theory data (PBE-GGA) for crystalline LiGaSeO4 at its relaxed geometry.

Space group ... No. 74
Crystal system ... orthorhombic
Density of states at the Fermi level ... 0.000 states/eV/f.u.
Calculated volume ... 79.8 Å³/f.u.
Formation energy (no corrections) ... -132 kJ/mol of atoms

extended XYZ file:
```
14
Lattice="-5.969 1.075 2.959 -5.223 -2.189 -2.047 -3.076 -4.207 3.018" Properties=species:S:1:pos:R:3 pbc="T T T"
Li -4.523 -1.566 2.989
Li -1.538 -2.103 1.509
Ga 0.000 0.000 0.000
Ga -4.150 -3.198 0.486
Se -7.445 -1.431 0.891
Se -6.824 -3.890 3.038
O -10.721 -4.203 2.984
O -7.626 -4.384 1.600
O -6.643 -0.937 2.330
O -3.547 -1.119 0.945
O -5.848 -2.566 -0.238
O -9.543 -1.900 1.594
O -4.726 -3.421 2.336
O -8.421 -2.755 4.167
```

=====

No. 6
Density functional theory data (PBE-GGA) for crystalline TmBe2NiB at its relaxed geometry.

VASP energy ... -25.8 eV per cell
Space group ... No. 44
Crystal system ... orthorhombic
Density of states at the Fermi level ... 2.853 states/eV/f.u.
Calculated volume ... 58.2 Å³/f.u.

extended XYZ file:
```
5
Lattice="3.619 0.000 0.000 0.000 3.561 0.000 -1.809 -1.781 4.519" Properties=species:S:1:pos:R:3 pbc="T T T"
Tm 0.000 0.000 3.953
Be 1.809 -0.001 1.824
Be 0.000 0.000 0.495
Ni 0.000 1.781 1.803
B 1.809 1.781 2.879
```

=====

No. 7
Density functional theory data (PBE-GGA) for crystalline Li2TbZn9 at its relaxed geometry.

VASP energy ... -21.2 eV per cell
Space group ... No. 191
Crystal system ... hexagonal
Density of states at the Fermi level ... 4.233 states/eV/f.u.
Calculated volume ... 193.2 Å³/f.u.

extended XYZ file:
```
12
Lattice="-1.059 2.667 -0.627 -2.537 0.940 8.283 7.956 2.585 -2.440" Properties=species:S:1:pos:R:3 pbc="T T T"
Li 0.961 1.488 4.709
Li 4.458 2.037 1.134
Tb 0.000 0.000 0.000
Zn -1.159 2.573 6.020
Zn 3.978 1.292 -1.220
Zn 2.710 1.762 2.921
Zn 2.458 3.748 4.911
Zn 5.519 3.619 -0.804
Zn 4.366 4.047 2.961
Zn 1.902 2.444 0.305
Zn -1.268 0.470 4.142
Zn -0.005 2.145 2.255
```

=====

No. 8
Density functional theory data (PBE-GGA) for crystalline Rb2CaMgF6 at its relaxed geometry.

Space group ... No. 225
Crystal system ... cubic
Density of states at the Fermi level ... 0.000 states/eV/f.u.
Calculated volume ... 159.7 Å³/f.u.
Formation energy (no corrections) ... -326 kJ/mol of atoms

extended XYZ file:
```
10
Lattice="6.090 0.000 0.000 0.000 6.090 0.000 3.045 3.045 4.306" Properties=species:S:1:pos:R:3 pbc="T T T"
Ca 0.000 0.000 0.000
Mg 3.045 3.045 0.000
Rb 6.090 3.045 2.153
Rb 3.045 6.090 2.153
F 3.045 3.045 2.037
F 6.090 6.090 2.269
F 1.605 1.605 0.000
F 4.485 4.485 0.000
F 4.485 1.605 0.000
F 1.605 4.485 0.000
```

=====

No. 9
Density functional theory data (PBE-GGA) for crystalline La8Ho at its relaxed geometry.

VASP energy ... -43.9 eV per cell
Space group ... No. 139
Crystal system ... tetragonal
Density of states at the Fermi level ... 17.477 states/eV/f.u.
Calculated volume ... 323.8 Å³/f.u.

extended XYZ file:
```
9
Lattice="5.267 0.000 0.000 2.633 7.841 0.000 2.633 0.000 7.841" Properties=species:S:1:pos:R:3 pbc="T T T"
La 2.633 0.000 2.603
La 5.267 0.000 5.238
La 5.267 5.238 0.000
La 2.633 5.239 2.602
La 5.267 5.239 5.239
La 5.267 2.602 2.602
La 2.633 2.602 5.239
La 2.633 2.603 0.000
Ho 0.000 0.000 0.000
```

=====

No. 10
Density functional theory data (PBE-GGA) for crystalline Ag17Pd2 at its relaxed geometry.

VASP energy ... -55.3 eV per cell
Space group ... No. 166
Crystal system ... trigonal
Density of states at the Fermi level ... 4.532 states/eV/f.u.
Calculated volume ... 369.4 Å³/f.u.

extended XYZ file:
```
19
Lattice="-2.603 2.948 -6.105 -0.225 -5.944 -4.165 -7.015 -1.707 0.777" Properties=species:S:1:pos:R:3 pbc="T T T"
Ag -6.863 -2.459 -2.856
Ag -3.476 -4.572 -5.321
Ag -0.921 -0.440 -0.888
Ag -8.922 -4.263 -8.604
Ag -3.508 -0.853 0.389
Ag -1.302 1.474 -3.052
Ag -0.112 -2.972 -2.082
Ag -0.994 -3.066 -4.793
Ag -4.817 -3.078 -0.823
Ag -4.031 1.441 -3.877
Ag -1.833 0.070 -5.477
Ag -2.423 -4.573 -2.565
Ag -5.587 -0.200 -1.450
Ag -6.367 -0.131 -4.171
Ag -2.980 -2.245 -6.636
Ag -5.181 -4.566 -3.203
Ag -4.662 -0.137 -6.289
Pd -7.034 -3.361 -6.784
Pd -2.809 -1.342 -2.709
```

=====

In order of appearance, mass density = 9.949, 4.319, 5.685, 6.793, 4.568, 7.312, 6.547, 3.632, 6.545, 9.200 g/cm³.